Entry 1:
A plane-wave DFT calculation with meta-GGA SCAN was carried out for a crystal of Sc2BeZn relaxed with PBEsol.

extended XYZ file:
```
4
Lattice="3.210 0.000 0.000 0.000 3.210 0.000 0.000 0.000 6.482" Properties=species:S:1:pos:R:3 pbc="T T T"
Sc 0.000 0.000 1.518
Sc 0.000 0.000 4.964
Be 1.605 1.605 0.000
Zn 1.605 1.605 3.241
```

Computed properties:
* magnetic moment: 0.00 μB per formula unit
* final energy: -47.40 eV/f.u.
* E above lowest polymorph: 0.0 meV/atom
* energy relative to the elements: -265 meV/atom

---

Entry 2:
A plane-wave DFT calculation with meta-GGA SCAN was carried out for a crystal of LiHgPb2 relaxed with PBEsol.

extended XYZ file:
```
4
Lattice="3.422 0.000 0.000 0.000 3.422 0.000 0.000 0.000 8.191" Properties=species:S:1:pos:R:3 pbc="T T T"
Li 0.000 0.000 0.000
Hg 1.711 1.711 6.820
Pb 0.000 0.000 4.613
Pb 1.711 1.711 1.970
```

Computed properties:
* magnetic moment: 0.00 μB per formula unit
* final energy: -222.93 eV/f.u.
* energy relative to the elements: -204 meV/atom

---

Entry 3:
A plane-wave DFT calculation with meta-GGA SCAN was carried out for a crystal of Ac2IrRh relaxed with PBEsol.

extended XYZ file:
```
4
Lattice="0.000 3.650 3.650 3.650 0.000 3.650 3.650 3.650 0.000" Properties=species:S:1:pos:R:3 pbc="T T T"
Ac 1.825 1.825 1.825
Ac 5.475 5.475 5.475
Ir 0.000 0.000 0.000
Rh 3.650 3.650 3.650
```

Computed properties:
* magnetic moment: 0.00 μB per formula unit
* final energy: -288.08 eV/f.u.
* energy relative to the elements: -564 meV/atom

---

> final energy of number 1 (Sc2BeZn)?

-47.40 eV/f.u.